Entry 1:
A relaxed ZnHgW2 crystal. Source: the Alexandria database, functional GGA-PBE.

Geometry as POSCAR:
```
ZnHgW2
1.0
2.7540 0.0000 0.0000
0.0000 2.7540 0.0000
0.0000 0.0000 9.0293
Zn Hg W
1 1 2
direct
0.0000 0.0000 0.0000
0.5000 0.5000 0.2640
0.0000 0.0000 0.5286
0.5000 0.5000 0.7782
```

Values from the calculation:
- energy above the lowest structure with this stoichiometry (eV/atom) = 0.138
- crystal system = tetragonal
- space group = P4mm (99)


Entry 2:
A relaxed CaLa2Pm6Y3 crystal. Source: the Alexandria database, functional GGA-PBE.

Geometry as POSCAR:
```
CaLa2Pm6Y3
1.0
3.1755 -5.5033 0.0000
3.1755 5.5033 0.0000
-2.1174 0.0000 11.9170
Ca La Pm Y
1 2 6 3
direct
0.0000 0.0000 0.0000
0.3330 0.6670 0.0000
0.6670 0.3330 0.0000
0.0861 0.4233 0.2569
0.2508 0.2508 0.7426
0.4233 0.0861 0.2569
0.5767 0.9139 0.7431
0.7492 0.7492 0.2574
0.9139 0.5767 0.7431
0.1658 0.8342 0.5000
0.5000 0.5000 0.5000
0.8342 0.1658 0.5000
```

Values from the calculation:
- crystal system = monoclinic
- space group = C2/m (12)


Entry 3:
A relaxed AcPr2SmTm5 crystal. Source: the Alexandria database, functional GGA-PBE.

Geometry as POSCAR:
```
AcPr2SmTm5
1.0
-4.3972 4.3972 7.8296
4.3972 -4.3972 7.8296
4.3972 4.3972 -7.8296
Ac Pr Sm Tm
2 4 2 10
direct
0.2500 0.2500 0.0000
0.7500 0.7500 0.0000
0.1175 0.6175 0.7350
0.3825 0.1175 0.5000
0.6175 0.8825 0.5000
0.8825 0.3825 0.2650
0.2500 0.7500 0.5000
0.7500 0.2500 0.5000
0.0000 0.0000 0.0000
0.0739 0.1579 0.5000
0.1579 0.6579 0.0840
0.3421 0.4261 0.5000
0.4261 0.9261 0.0840
0.5000 0.5000 0.0000
0.5739 0.0739 0.9160
0.6579 0.5739 0.5000
0.8421 0.3421 0.9160
0.9261 0.8421 0.5000
```

Values from the calculation:
- crystal system = tetragonal
- space group = I4/mcm (140)


Entry 4:
A relaxed LiOsRh2 crystal. Source: the Alexandria database, functional GGA-PBE.

Geometry as POSCAR:
```
LiOsRh2
1.0
-1.8516 1.8516 3.9444
1.8516 -1.8516 3.9444
1.8516 1.8516 -3.9444
Li Os Rh
1 1 2
direct
0.0000 0.0000 0.0000
0.2500 0.7500 0.5000
0.5000 0.5000 0.0000
0.7500 0.2500 0.5000
```

Values from the calculation:
- energy above the lowest structure with this stoichiometry (eV/atom) = 0.126
- crystal system = tetragonal
- space group = I-4m2 (119)


| no. | formation energy (eV per atom) | DOS(E_F) (states/eV/f.u.) | E_tot (eV/atom) |
| --- | --- | --- | --- |
| 1 | 0.515 | 2.1 | -6.355 |
| 2 | 0.034 | 16.1 | -4.946 |
| 3 | 0.251 | 9.4 | -4.276 |
| 4 | 0.112 | 4.3 | -6.850 |